! PBE with a Hubbard U LaCo2O2, relaxed; values from VASP
&SYSTEM
  ibrav = 0, nat = 5, ntyp = 3
/
ATOMIC_SPECIES
Co 58.93 Co.upf
O 16.00 O.upf
La 138.91 La.upf
CELL_PARAMETERS angstrom
-2.598 -0.297 -3.013
0.920 -3.861 -0.413
-3.740 -3.048 0.884
ATOMIC_POSITIONS crystal
Co 0.358 0.358 0.284
Co 0.642 0.642 0.716
O 0.750 0.250 0.500
O 0.250 0.750 0.500
La 0.000 0.000 0.000
! Final energy   -6.0894 eV/atom
! Symmetry   No. 139
! Polymorph energy (0 for the lowest one)   0 meV/atom